Material: HgSeCl2
Method: DFT, SCAN
State: single point on PBEsol structure

Cell and atoms, written as POSCAR:
```
HgSeCl2
1.0
3.342 0.000 0.000
0.000 3.342 0.000
0.000 0.000 7.778
Hg Se Cl
1 1 2
Cartesian
0.000 0.000 0.000
1.671 1.671 1.901
0.000 0.000 3.501
1.671 1.671 6.219
```

- E (eV/atom) = -25.82
- raw formation energy (eV/atom) = 0.23

---

Material: TmAlRh
Method: DFT, SCAN
State: single point on PBEsol structure

Cell and atoms, written as POSCAR:
```
TmAlRh
1.0
6.748 0.000 0.000
0.000 4.070 0.000
0.000 0.000 7.880
Tm Al Rh
4 4 4
Cartesian
0.257 1.018 1.407
3.117 3.053 5.347
3.631 1.018 2.533
6.491 3.053 6.473
0.912 1.018 4.412
2.462 3.053 0.472
4.286 1.018 7.408
5.836 3.053 3.468
1.614 3.053 2.964
1.760 1.018 6.904
4.988 3.053 0.976
5.134 1.018 4.916
```

- E (eV/atom) = -32.22
- energy of formation from the pure elements (eV per atom) = -1.107

---

Material: BaFe2Co
Method: DFT, SCAN
State: single point on PBEsol structure

Cell and atoms, written as POSCAR:
```
BaFe2Co
1.0
3.112 0.000 0.000
0.000 3.112 0.000
0.000 0.000 7.222
Ba Fe Co
1 2 1
Cartesian
0.000 0.000 0.000
0.000 0.000 3.538
1.556 1.556 4.674
1.556 1.556 2.451
```

- E (eV/atom) = -22.75
- energy of formation from the pure elements (eV per atom) = 0.528